Entry 1:
Tm2Mn16Cr: relaxed, PBE-GGA.

Values from the calculation:
- total magnetic moment (μB/f.u.) = 5.271
- formation energy (eV per atom) = 0.00
- space-group type = R3m

The structure in POSCAR format:
```
Tm2Mn16Cr
1.0
4.297 2.481 3.872
-4.297 2.481 3.872
0.000 -4.962 3.872
Tm Mn Cr
2 16 1
direct
0.000 0.000 0.000
0.292 0.292 0.292
0.004 0.004 0.522
0.004 0.522 0.004
0.144 0.647 0.647
0.289 0.289 0.770
0.289 0.770 0.289
0.370 0.645 0.922
0.370 0.922 0.645
0.522 0.004 0.004
0.546 0.546 0.546
0.645 0.370 0.922
0.645 0.922 0.370
0.647 0.144 0.647
0.647 0.647 0.144
0.770 0.289 0.289
0.922 0.370 0.645
0.922 0.645 0.370
0.743 0.743 0.743
```


Entry 2:
MgHg3Cl: relaxed, PBE-GGA.

Values from the calculation:
- total magnetic moment (μB/f.u.) = 0.000
- polymorph energy (0 for the lowest one) (meV/atom) = 0
- energy relative to the elements, uncorrected (kJ/mol of formula units) = -65
- space-group type = Pm-3m

The structure in POSCAR format:
```
MgHg3Cl
1.0
5.511 0.000 0.000
0.000 5.511 0.000
0.000 0.000 5.511
Mg Hg Cl
1 3 1
direct
0.000 0.000 0.000
0.000 0.000 0.500
0.000 0.500 0.000
0.500 0.000 0.000
0.500 0.500 0.500
```